[1]
{
  "formula": "AcLa2C2N6",
  "functional": "PBE",
  "state": "optimized geometry",
  "cell": [[-1.415, -3.056, 4.962], [-2.389, -1.570, -5.272], [4.101, -3.314, -0.872]],
  "species": ["Ac", "La", "C", "N", "N", "N", "La", "C", "N", "N", "N"],
  "frac_coords": [[0.000, 0.000, 0.000], [0.333, 0.667, 0.285], [0.667, 0.333, 0.230], [0.873, 0.577, 0.238], [0.705, 0.127, 0.238], [0.577, 0.705, 0.762], [0.667, 0.333, 0.715], [0.333, 0.667, 0.770], [0.423, 0.295, 0.238], [0.127, 0.423, 0.762], [0.295, 0.873, 0.762]],
  "n_ef_per_ev_atom": 0.331,
  "e_form_raw_kj_per_mol_atoms": -64.8,
  "space_group": "No. 147",
  "total_magnetization_mub_per_atom": 0.094
}

=====

[2]
{
  "formula": "Ac2LaC2N6",
  "functional": "PBE",
  "state": "optimized geometry",
  "cell": [[-5.373, 2.135, 1.257], [0.983, -5.831, 0.180], [1.404, 0.401, 5.319]],
  "species": ["Ac", "N", "N", "N", "N", "C", "C", "Ac", "La", "N", "N"],
  "frac_coords": [[0.667, 0.333, 0.720], [0.597, 0.785, 0.759], [0.813, 0.597, 0.241], [0.785, 0.187, 0.241], [0.187, 0.403, 0.759], [0.667, 0.333, 0.233], [0.333, 0.667, 0.767], [0.333, 0.667, 0.280], [0.000, 0.000, 0.000], [0.403, 0.215, 0.241], [0.215, 0.813, 0.759]],
  "n_ef_per_ev_atom": 0.388,
  "e_form_raw_kj_per_mol_atoms": -68.9,
  "space_group": "No. 147",
  "total_magnetization_mub_per_atom": 0.000
}

=====

[3]
{
  "formula": "AcLa2OsC2",
  "functional": "PBE",
  "state": "optimized geometry",
  "cell": [[-0.330, 3.358, 2.295], [3.137, -2.651, 4.329], [9.898, 4.141, -4.637]],
  "species": ["Os", "La", "La", "Ac", "La", "Os", "C", "C", "La", "C", "Ac", "C"],
  "frac_coords": [[0.500, 0.500, 0.500], [0.000, 0.521, 0.297], [0.500, 0.979, 0.797], [0.500, 0.500, 0.000], [0.000, 0.479, 0.703], [0.000, 0.000, 0.000], [0.500, 0.739, 0.387], [0.000, 0.239, 0.113], [0.500, 0.021, 0.203], [0.500, 0.261, 0.613], [0.000, 0.000, 0.500], [0.000, 0.761, 0.887]],
  "n_ef_per_ev_atom": 0.852,
  "formation_energy_ev_per_atom": -0.003,
  "space_group": "No. 58",
  "total_magnetization_mub_per_atom": 0.000
}

=====

[4]
{
  "formula": "AcLa2SnC",
  "functional": "PBE",
  "state": "optimized geometry",
  "cell": [[-4.895, 2.202, 0.786], [-1.954, -2.972, -3.843], [-1.130, -3.750, 3.475]],
  "species": ["Sn", "La", "La", "Ac", "C"],
  "frac_coords": [[0.500, 0.500, 0.500], [0.000, 0.000, 0.500], [0.000, 0.500, 0.000], [0.500, 0.000, 0.000], [0.000, 0.000, 0.000]],
  "n_ef_per_ev_atom": 0.641,
  "formation_energy_ev_per_atom": -0.411,
  "space_group": "No. 123",
  "total_magnetization_mub_per_atom": 0.000
}

=====

[5]
{
  "formula": "Li2Ac4C",
  "functional": "PBE",
  "state": "optimized geometry",
  "cell": [[-4.662, 1.828, 2.311], [0.530, -3.734, 4.024], [6.304, 6.252, 1.191]],
  "species": ["Ac", "Ac", "Ac", "Ac", "Li", "Li", "C"],
  "frac_coords": [[0.833, 0.833, 0.666], [0.167, 0.167, 0.334], [0.000, 0.500, 0.000], [0.500, 0.000, 0.000], [0.630, 0.630, 0.259], [0.370, 0.370, 0.741], [0.000, 0.000, 0.000]],
  "n_ef_per_ev_atom": 1.179,
  "formation_energy_ev_per_atom": 0.209,
  "space_group": "No. 139",
  "total_magnetization_mub_per_atom": 0.000
}

=====

[6]
{
  "formula": "LiAc3C",
  "functional": "PBE",
  "state": "optimized geometry",
  "cell": [[-4.013, 3.796, -0.019], [-1.329, -1.430, -5.167], [-3.556, -3.749, 1.952]],
  "species": ["Li", "Ac", "Ac", "Ac", "C"],
  "frac_coords": [[0.500, 0.500, 0.500], [0.500, 0.000, 0.000], [0.000, 0.500, 0.000], [0.000, 0.000, 0.500], [0.000, 0.000, 0.000]],
  "n_ef_per_ev_atom": 0.862,
  "formation_energy_ev_per_atom": 0.170,
  "space_group": "No. 221",
  "total_magnetization_mub_per_atom": 0.000
}

=====

Copy entry 6 word for word.
{
  "formula": "LiAc3C",
  "functional": "PBE",
  "state": "optimized geometry",
  "cell": [[-4.013, 3.796, -0.019], [-1.329, -1.430, -5.167], [-3.556, -3.749, 1.952]],
  "species": ["Li", "Ac", "Ac", "Ac", "C"],
  "frac_coords": [[0.500, 0.500, 0.500], [0.500, 0.000, 0.000], [0.000, 0.500, 0.000], [0.000, 0.000, 0.500], [0.000, 0.000, 0.000]],
  "n_ef_per_ev_atom": 0.862,
  "formation_energy_ev_per_atom": 0.170,
  "space_group": "No. 221",
  "total_magnetization_mub_per_atom": 0.000
}